No. 1
# SrBPt | OQMD | PBE | relaxed
# Polymorph energy (0 for the lowest one) in meV/atom: 795
# Calculated volume in Å³ per cell: 299.5
data_SrBPt
_cell_length_a 6.691
_cell_length_b 6.691
_cell_length_c 6.691
_cell_angle_alpha 90.00
_cell_angle_beta 90.00
_cell_angle_gamma 90.00
_space_group_name_H-M_alt 'F -4 3 m'
_space_group_IT_number 216
_space_group_name_Hall 'F -4 2 3'
loop_
_atom_site_label
_atom_site_type_symbol
_atom_site_fract_x
_atom_site_fract_y
_atom_site_fract_z
Sr1 Sr 0.000 0.000 0.000
B1 B 0.250 0.250 0.750
Pt1 Pt 0.250 0.250 0.250

***

No. 2
# KHg2Sb2 | OQMD | PBE | relaxed
# Calculated total energy in eV/atom: -2.142
# Calculated volume in Å³ per cell: 325.7
data_KHg2Sb2
_cell_length_a 5.321
_cell_length_b 5.321
_cell_length_c 11.504
_cell_angle_alpha 90.00
_cell_angle_beta 90.00
_cell_angle_gamma 90.00
_space_group_name_H-M_alt 'I 4/m m m'
_space_group_IT_number 139
_space_group_name_Hall '-I 4 2'
loop_
_atom_site_label
_atom_site_type_symbol
_atom_site_fract_x
_atom_site_fract_y
_atom_site_fract_z
K1 K 0.000 0.000 0.000
Hg1 Hg 0.000 0.500 0.250
Sb1 Sb 0.000 0.000 0.377